The following is a PBE-GGA calculation of Cr2Fe after structural relaxation, from the Alexandria database.

```
Cr2Fe
1.0
2.889 0.000 0.000
0.000 3.939 0.000
0.000 0.000 12.049
Cr Fe
8 4
direct
0.000 0.000 0.167
0.000 0.000 0.833
0.000 0.500 0.333
0.000 0.500 0.667
0.500 0.000 0.333
0.500 0.000 0.667
0.500 0.500 0.167
0.500 0.500 0.833
0.000 0.000 0.500
0.000 0.500 0.000
0.500 0.000 0.000
0.500 0.500 0.500
```

## Properties
**Energy relative to the elements**: 0.04 eV/atom
**Crystal system**: orthorhombic
**Symmetry**: Fmmm
**Calculated density**: 7.7 Mg/m³
**N(E_F)**: 9.3 states/eV per cell
**Spin magnetization**: 0.662 μB per atom